(1)
A plane-wave DFT calculation with PBE-GGA was carried out for crystalline CoTeSe2N at its relaxed geometry.

Cell: 5.0420 5.0420 3.4706 Å, 90.00 90.00 90.00°
With the nearest neighbours (Å) after each atom.
Sites, in units of the cell vectors:
1 Se 0.0000 0.5000 0.0000  2 Co 2.52
2 Co 0.0000 0.0000 0.0000  2 N 1.74
3 N 0.0000 0.0000 0.5000  2 Co 1.74
4 Se 0.5000 0.0000 0.0000  2 Co 2.52
5 Te 0.5000 0.5000 0.5000  8 Se 3.06

Calculated values
The density of states at the Fermi level is 1.054 states/eV per atom. Its density is 6.7 Mg/m³. As for the energy relative to the lowest polymorph listed for this composition: 0.0 meV per atom. The calculation puts the size of the total moment at 0.00 Bohr magnetons per cell. As for the raw formation energy: 392 meV/atom. The calculation puts the raw total energy at -23.6 eV for the cell shown.



(2)
A plane-wave DFT calculation with PBE-GGA was carried out for crystalline Li2PaGeO6 at its relaxed geometry.

Cell: 5.1618 5.1623 5.7655 Å, 63.41 63.39 60.00°
With the nearest neighbours (Å) after each atom.
Sites, in units of the cell vectors:
1 O 0.9558 0.5631 0.2731  1 Ge 1.92, 1 Li 2.00
2 Pa 0.8161 0.8162 0.5516  6 O 2.17
3 O 0.0693 0.4244 0.8299  1 Ge 1.92, 1 Li 2.00
4 O 0.5631 0.2080 0.2730  1 Ge 1.92, 1 Li 2.00
5 O 0.2080 0.9559 0.2729  1 Ge 1.92, 1 Li 2.00
6 Li 0.0224 0.0225 0.9328  3 O 2.00
7 Ge 0.3162 0.3162 0.0515  6 O 1.92
8 O 0.6766 0.0693 0.8298  1 Ge 1.92, 1 Li 2.00
9 Li 0.6098 0.6097 0.1707  3 O 2.00
10 O 0.4244 0.6764 0.8300  1 Ge 1.92, 1 Li 2.00

Calculated values
The density of states at the Fermi level is 0.676 states/eV per atom. Its density is 6.0 Mg/m³. The calculation puts the size of the total moment at 0.00 Bohr magnetons per cell. As for the raw formation energy: -2280 meV/atom. The calculation puts the raw total energy at -70.5 eV for the cell shown.



- The lowest raw total energy belongs to which entry?
  Li2PaGeO6



Repeat the first record exactly.
A plane-wave DFT calculation with PBE-GGA was carried out for crystalline CoTeSe2N at its relaxed geometry.

Cell: 5.0420 5.0420 3.4706 Å, 90.00 90.00 90.00°
With the nearest neighbours (Å) after each atom.
Sites, in units of the cell vectors:
1 Se 0.0000 0.5000 0.0000  2 Co 2.52
2 Co 0.0000 0.0000 0.0000  2 N 1.74
3 N 0.0000 0.0000 0.5000  2 Co 1.74
4 Se 0.5000 0.0000 0.0000  2 Co 2.52
5 Te 0.5000 0.5000 0.5000  8 Se 3.06

Calculated values
The density of states at the Fermi level is 1.054 states/eV per atom. Its density is 6.7 Mg/m³. As for the energy relative to the lowest polymorph listed for this composition: 0.0 meV per atom. The calculation puts the size of the total moment at 0.00 Bohr magnetons per cell. As for the raw formation energy: 392 meV/atom. The calculation puts the raw total energy at -23.6 eV for the cell shown.



- What is the density in the first record?
  6.7 Mg/m³